VASP calculation (GGA-PBE) on a geometry-optimized ZnTcPt6 structure.

Calculated values
ΔH_f (0 K): -1.77 eV/f.u.
Crystal system: tetragonal
Spin magnetization: 0.0002 μB/atom
Space-group type: No. 123

abc: 3.939 3.939 7.874
angles: 90.00 90.00 90.00
Positions (direct):
Pt 0.500 0.500 0.500
Pt 0.500 0.500 0.000
Pt 0.000 0.500 0.745
Pt 0.000 0.500 0.255
Pt 0.500 0.000 0.745
Pt 0.500 0.000 0.255
Tc 0.000 0.000 0.500
Zn 0.000 0.000 0.000


VASP calculation (GGA-PBE) on a geometry-optimized Si2NiGe structure.

Calculated values
Crystal system: tetragonal
Spin magnetization: 0.0000 μB/atom
Space-group type: No. 122
Formation energy from raw total energies: 0.23 eV per atom

abc: 5.432 5.432 6.526
angles: 65.40 65.40 90.00
Positions (direct):
Si 0.875 0.840 0.750
Si 0.160 0.625 0.250
Si 0.375 0.410 0.750
Si 0.590 0.125 0.250
Ge 0.750 0.250 0.500
Ge 0.000 0.000 0.000
Ni 0.500 0.500 0.000
Ni 0.250 0.750 0.500


VASP calculation (GGA-PBE) on a geometry-optimized TaIn2Rh structure.

Calculated values
ΔH_f (0 K): -0.17 eV/f.u.
Crystal system: tetragonal
Spin magnetization: 0.0000 μB/atom
Space-group type: No. 123

abc: 3.093 3.093 7.673
angles: 90.00 90.00 90.00
Positions (direct):
In 0.000 0.000 0.225
In 0.000 0.000 0.775
Rh 0.500 0.500 0.000
Ta 0.500 0.500 0.500